Tl2WO: relaxed, GGA-PBEsol.

Computed properties:
The calculation puts the uncorrected formation energy at 1.24 eV/atom. For the magnetic moment, the calculation gives 0.8 μB/f.u. The space group is Fm-3m. The value obtained for the uncorrected energy is -4.8428 eV per atom.

Cell lengths 4.6988, 4.6988, 4.6988 Å; angles 60.00, 60.00, 60.00 degrees
Each line ends with the local moment (μB).
Fractional coordinates of all 4 atoms:
Tl (0.7500, 0.7500, 0.7500)  -0.01
O (0.0000, 0.0000, 0.0000)  -0.18
W (0.5000, 0.5000, 0.5000)  0.77
Tl (0.2500, 0.2500, 0.2500)  -0.01